[1]
A relaxed NaGeIrW2 crystal, computed with PBE-GGA.

Calculated formation energy in eV per formula unit: 13.98

a = 4.5525 Å, b = 4.5525 Å, c = 4.4011 Å
α = 90.00°, β = 90.00°, γ = 90.00°
Last column: nearest neighbours and their distance in Å.
Space group P4/mmm (No. 123)
Asymmetric unit:
Na: 0.0000 0.0000 0.0000 x1  2 Ge 2.20, 4 W 2.28
Ge: 0.0000 0.0000 0.5000 x1  2 Na 2.20
Ir: 0.5000 0.5000 0.5000 x1  8 W 3.17, 4 Ge 3.22
W: 0.0000 0.5000 0.0000 x2  2 Na 2.28

***

[2]
A relaxed Pr2YEr3Se6 crystal, computed with PBE-GGA.

Uncorrected formation energy in eV per atom: -1.76

a = 18.0745 Å, b = 4.0778 Å, c = 8.3498 Å
α = 90.00°, β = 104.79°, γ = 90.00°
Last column: nearest neighbours and their distance in Å.
Space group C2/m (No. 12)
Asymmetric unit:
Pr: 0.1684 0.0000 0.3364 x4  6 Se 2.99-3.04
Y: 0.0000 0.5000 0.0000 x2  6 Se 2.91-2.94
Er: 0.0000 0.5000 0.5000 x2  6 Se 2.82-2.90
Er: 0.1700 0.0000 0.8340 x4  6 Se 2.83-2.88
Se: 0.0052 0.0000 0.7492 x4  3 Er 2.88-2.90, 2 Y 2.94, 1 Pr 3.04
Se: 0.1611 0.5000 0.5953 x4  3 Er 2.82-2.83, 3 Pr 2.99-3.00
Se: 0.1662 0.5000 0.0693 x4  3 Er 2.84-2.86, 1 Y 2.91, 2 Pr 3.01

***

Number 1: total energy -5.345 eV per atom. Number 2: total energy -5.978 eV per atom.